No. 1
This record from Alexandria via LeMat-Bulk describes an optimized crystal structure of Ac3Mg2Ni4. The functional is PBE.

Cell lengths 5.8053, 5.8053, 9.2709 Å; angles 96.75, 96.75, 42.23 degrees
Fractional positions:
Ac 0.0000 0.0000 0.0000
Ac 0.3742 0.3742 0.6220
Ac 0.6258 0.6258 0.3780
Mg 0.3241 0.3241 0.2140
Mg 0.6759 0.6759 0.7860
Ni 0.0777 0.0777 0.6168
Ni 0.2786 0.2786 0.9316
Ni 0.7214 0.7214 0.0684
Ni 0.9223 0.9223 0.3832

Computed properties:
Volume: 208.31 Å³ per cell
Calculated formation energy: -186 kJ/mol of formula units
Spin magnetization: 0.00 μB/atom


No. 2
This record from Alexandria via LeMat-Bulk describes an optimized crystal structure of Sr2MgAs. The functional is PBE.

Cell lengths 7.3503, 7.3503, 7.3503 Å; angles 106.19, 106.19, 116.25 degrees
Fractional positions:
Sr 0.0735 0.6250 0.9485
Sr 0.3750 0.3235 0.4485
Sr 0.6765 0.1250 0.0515
Sr 0.8750 0.9265 0.5515
Mg 0.2500 0.7500 0.5000
Mg 0.5000 0.5000 0.0000
As 0.0000 0.0000 0.0000
As 0.7500 0.2500 0.5000

Computed properties:
Excess energy over the best structure of this formula in the dataset: 0.300 eV/atom
Volume: 302.46 Å³ per cell
Calculated formation energy: -126 kJ/mol of formula units
Spin magnetization: 0.06 μB/atom


No. 3
This record from Alexandria via LeMat-Bulk describes an optimized crystal structure of SrIrRu3. The functional is PBE.

Cell lengths 4.7143, 4.7143, 4.7143 Å; angles 90.00, 90.00, 90.00 degrees
Fractional positions:
Sr 0.0000 0.0000 0.0000
Ir 0.5000 0.5000 0.5000
Ru 0.0000 0.0000 0.5000
Ru 0.0000 0.5000 0.0000
Ru 0.5000 0.0000 0.0000

Computed properties:
Volume: 104.77 Å³ per cell
Calculated formation energy: 1449 kJ/mol of formula units
Spin magnetization: 0.98 μB/atom


No. 4
This record from Alexandria via LeMat-Bulk describes an optimized crystal structure of Rb3SrV. The functional is PBE.

Cell lengths 8.0272, 8.0272, 8.0272 Å; angles 90.00, 90.00, 90.00 degrees
Fractional positions:
Rb 0.0000 0.0000 0.5000
Rb 0.0000 0.5000 0.0000
Rb 0.5000 0.0000 0.0000
Sr 0.0000 0.0000 0.0000
V 0.5000 0.5000 0.5000

Computed properties:
Excess energy over the best structure of this formula in the dataset: 0.424 eV/atom
Volume: 517.25 Å³ per cell
Calculated formation energy: 633 kJ/mol of formula units
Spin magnetization: 0.84 μB/atom


No. 5
This record from Alexandria via LeMat-Bulk describes an optimized crystal structure of BeSbAs2. The functional is PBE.

Cell lengths 4.5390, 3.8033, 4.7583 Å; angles 90.00, 107.66, 90.00 degrees
Fractional positions:
Be 0.0000 0.0000 0.0000
Sb 0.5000 0.0000 0.5000
As 0.2350 0.5000 0.8151
As 0.7650 0.5000 0.1849

Computed properties:
Formation energy without anion corrections: 0.191 eV per atom
Excess energy over the best structure of this formula in the dataset: 0.162 eV/atom
Volume: 78.27 Å³ per cell
Spin magnetization: 0.00 μB/atom


No. 6
This record from Alexandria via LeMat-Bulk describes an optimized crystal structure of Zr2TlCd. The functional is PBE.

Cell lengths 5.4394, 5.4394, 3.1635 Å; angles 90.00, 90.00, 108.34 degrees
Fractional positions:
Zr 0.0000 0.5000 0.0000
Zr 0.5000 0.0000 0.0000
Tl 0.0000 0.0000 0.5000
Cd 0.5000 0.5000 0.5000

Computed properties:
Volume: 88.84 Å³ per cell
Calculated formation energy: -44 kJ/mol of formula units
Spin magnetization: 0.00 μB/atom


No. 7
This record from Alexandria via LeMat-Bulk describes an optimized crystal structure of Ac2AlAu5. The functional is PBE.

Cell lengths 6.6636, 6.6636, 6.6636 Å; angles 119.93, 119.93, 90.11 degrees
Fractional positions:
Ac 0.0000 0.5000 0.5000
Ac 0.5000 0.0000 0.5000
Al 0.1989 0.1989 0.0000
Au 0.5107 0.5107 0.5366
Au 0.5107 0.9742 0.0000
Au 0.9331 0.9331 0.0000
Au 0.9742 0.5107 0.0000
Au 0.9742 0.9742 0.4634

Computed properties:
Volume: 209.43 Å³ per cell
Calculated formation energy: -499 kJ/mol of formula units
Spin magnetization: 0.00 μB/atom


No. 8
This record from Alexandria via LeMat-Bulk describes an optimized crystal structure of K3CuSn3S8. The functional is PBE.

Cell lengths 7.6902, 7.6902, 8.8147 Å; angles 117.04, 117.04, 58.26 degrees
Fractional positions:
K 0.0000 0.0000 0.0000
K 0.0000 0.5000 0.0000
K 0.5000 0.0000 0.0000
Cu 0.0000 0.0000 0.5000
Sn 0.0000 0.5000 0.5000
Sn 0.5000 0.0000 0.5000
Sn 0.5000 0.5000 0.5000
S 0.2146 0.7438 0.6754
S 0.2522 0.2522 0.7012
S 0.2562 0.7854 0.3246
S 0.2645 0.2645 0.2975
S 0.7355 0.7355 0.7025
S 0.7438 0.2146 0.6754
S 0.7478 0.7478 0.2988
S 0.7854 0.2562 0.3246

Computed properties:
Formation energy without anion corrections: -0.608 eV per atom
Volume: 378.54 Å³ per cell
Spin magnetization: 0.04 μB/atom


- Number 1 is which compound?
  Ac3Mg2Ni4


Repeat the first record exactly.
This record from Alexandria via LeMat-Bulk describes an optimized crystal structure of Ac3Mg2Ni4. The functional is PBE.

Cell lengths 5.8053, 5.8053, 9.2709 Å; angles 96.75, 96.75, 42.23 degrees
Fractional positions:
Ac 0.0000 0.0000 0.0000
Ac 0.3742 0.3742 0.6220
Ac 0.6258 0.6258 0.3780
Mg 0.3241 0.3241 0.2140
Mg 0.6759 0.6759 0.7860
Ni 0.0777 0.0777 0.6168
Ni 0.2786 0.2786 0.9316
Ni 0.7214 0.7214 0.0684
Ni 0.9223 0.9223 0.3832

Computed properties:
Volume: 208.31 Å³ per cell
Calculated formation energy: -186 kJ/mol of formula units
Spin magnetization: 0.00 μB/atom


- The highest spin magnetization belongs to which entry?
  SrIrRu3